Here is a crystal of InHg2Cl relaxed with PBEsol from Alexandria. Energies are from SCAN.

The structure in extended XYZ format:
```
4
Lattice="1.752 1.011 9.948 -1.752 1.011 9.948 0.000 -2.023 9.948" Properties=species:S:1:pos:R:3 pbc="T T T"
In 0.000 0.000 0.000
Hg 0.000 0.000 15.185
Hg 0.000 0.000 22.560
Cl 0.000 0.000 8.072
```

Calculated values
As for the magnetic moment: 0.00 μB/f.u. As for the mass density: 8.7 g/cm³. Its volume is 106 Å³ per cell. The calculation puts the energy relative to the lowest polymorph listed for this composition at 64 meV per atom.